[1]
# ZnW

A geometry-optimized ZnW structure (PBE, Alexandria).

Results
The magnetic moment is 0.0 μB/cell. As for the energy of formation from the pure elements: 0.35 eV/atom. The total energy comes out at -6.76 eV/atom. For the energy above the most stable polymorph in this dataset, the calculation gives 188 meV/atom. The value obtained for the density of states at the Fermi level is 1.15 states/eV/f.u.

a = 2.644 Å, b = 4.685 Å, c = 5.021 Å
α = 90.00°, β = 90.00°, γ = 90.00°
Element x y z (fractional)
Zn 0.250 0.250 0.089
Zn 0.750 0.750 0.911
W 0.250 0.750 0.404
W 0.750 0.250 0.596

[2]
# CrAgH

A geometry-optimized CrAgH structure (PBE, Alexandria).

Results
The magnetic moment is 0.0 μB/cell. The total energy comes out at -4.81 eV/atom. For the energy above the most stable polymorph in this dataset, the calculation gives 311 meV/atom. The value obtained for the density of states at the Fermi level is 1.47 states/eV/f.u.

a = 5.557 Å, b = 2.940 Å, c = 8.841 Å
α = 90.00°, β = 90.00°, γ = 90.00°
Element x y z (fractional)
Cr 0.110 0.250 0.054
Cr 0.390 0.750 0.554
Cr 0.610 0.250 0.446
Cr 0.890 0.750 0.946
Ag 0.086 0.250 0.364
Ag 0.414 0.750 0.864
Ag 0.586 0.250 0.136
Ag 0.914 0.750 0.636
H 0.021 0.250 0.855
H 0.479 0.750 0.355
H 0.521 0.250 0.645
H 0.979 0.750 0.145

[3]
# KFe2Te

A geometry-optimized KFe2Te structure (PBE, Alexandria).

Results
The magnetic moment is 5.7 μB/cell. The total energy comes out at -4.26 eV/atom. The value obtained for the density of states at the Fermi level is 6.05 states/eV/f.u.

a = 5.768 Å, b = 5.768 Å, c = 2.958 Å
α = 90.00°, β = 90.00°, γ = 115.59°
Element x y z (fractional)
K 0.000 0.000 0.000
Fe 0.000 0.500 0.500
Fe 0.500 0.000 0.500
Te 0.500 0.500 0.000

[4]
# TlBAsBr2

A geometry-optimized TlBAsBr2 structure (PBE, Alexandria).

Results
The magnetic moment is 1.5 μB/cell. The total energy comes out at -2.19 eV/atom. For the energy above the most stable polymorph in this dataset, the calculation gives 845 meV/atom. The value obtained for the density of states at the Fermi level is 3.16 states/eV/f.u.

a = 5.787 Å, b = 5.787 Å, c = 5.490 Å
α = 90.00°, β = 90.00°, γ = 90.00°
Element x y z (fractional)
Tl 0.000 0.000 0.000
B 0.500 0.500 0.500
As 0.000 0.000 0.500
Br 0.000 0.500 0.000
Br 0.500 0.000 0.000

[5]
# KSiMo3

A geometry-optimized KSiMo3 structure (PBE, Alexandria).

Results
The magnetic moment is 0.0 μB/cell. The total energy comes out at -6.31 eV/atom. For the energy above the most stable polymorph in this dataset, the calculation gives 0 meV/atom. The value obtained for the density of states at the Fermi level is 9.17 states/eV/f.u.

a = 4.711 Å, b = 4.711 Å, c = 4.711 Å
α = 90.00°, β = 90.00°, γ = 90.00°
Element x y z (fractional)
K 0.000 0.000 0.000
Si 0.500 0.500 0.500
Mo 0.000 0.500 0.500
Mo 0.500 0.000 0.500
Mo 0.500 0.500 0.000

[6]
# Ga3BAs

A geometry-optimized Ga3BAs structure (PBE, Alexandria).

Results
The magnetic moment is 0.0 μB/cell. As for the energy of formation from the pure elements: 0.31 eV/atom. The total energy comes out at -3.77 eV/atom. For the energy above the most stable polymorph in this dataset, the calculation gives 0 meV/atom. The value obtained for the density of states at the Fermi level is 1.72 states/eV/f.u.

a = 4.364 Å, b = 4.364 Å, c = 4.364 Å
α = 90.00°, β = 90.00°, γ = 90.00°
Element x y z (fractional)
Ga 0.000 0.000 0.500
Ga 0.000 0.500 0.000
Ga 0.500 0.000 0.000
B 0.000 0.000 0.000
As 0.500 0.500 0.500

[7]
# TcCN2F

A geometry-optimized TcCN2F structure (PBE, Alexandria).

Results
The magnetic moment is 1.4 μB/cell. The total energy comes out at -6.14 eV/atom. For the energy above the most stable polymorph in this dataset, the calculation gives 0 meV/atom. The value obtained for the density of states at the Fermi level is 4.75 states/eV/f.u.

a = 3.855 Å, b = 3.855 Å, c = 4.066 Å
α = 90.00°, β = 90.00°, γ = 90.00°
Element x y z (fractional)
Tc 0.000 0.000 0.000
C 0.500 0.500 0.500
N 0.000 0.500 0.000
N 0.500 0.000 0.000
F 0.000 0.000 0.500

[8]
# AsPd2CF

A geometry-optimized AsPd2CF structure (PBE, Alexandria).

Results
The magnetic moment is 0.0 μB/cell. The total energy comes out at -4.92 eV/atom. The value obtained for the density of states at the Fermi level is 3.47 states/eV/f.u.

a = 4.076 Å, b = 4.076 Å, c = 4.446 Å
α = 90.00°, β = 90.00°, γ = 90.00°
Element x y z (fractional)
As 0.000 0.000 0.000
Pd 0.000 0.500 0.500
Pd 0.500 0.000 0.500
C 0.000 0.000 0.500
F 0.500 0.500 0.000

[9]
# Sm2ErIr2

A geometry-optimized Sm2ErIr2 structure (PBE, Alexandria).

Results
The magnetic moment is 0.0 μB/cell. As for the energy of formation from the pure elements: -0.68 eV/atom. The total energy comes out at -7.02 eV/atom. The value obtained for the density of states at the Fermi level is 3.19 states/eV/f.u.

a = 6.452 Å, b = 6.452 Å, c = 10.935 Å
α = 118.08°, β = 118.08°, γ = 37.88°
Element x y z (fractional)
Sm 0.037 0.037 0.197
Sm 0.175 0.175 0.590
Sm 0.825 0.825 0.410
Sm 0.963 0.963 0.803
Er 0.296 0.296 0.134
Er 0.704 0.704 0.866
Ir 0.370 0.370 0.922
Ir 0.470 0.470 0.606
Ir 0.530 0.530 0.394
Ir 0.630 0.630 0.078